Record 1
First-principles (PBE) data for a relaxed YPOsSe2 crystal, as listed in Alexandria.

Calculated values
Distance to the lowest polymorph of the same formula in meV per atom: 406
ΔE_f (raw) in eV per atom: 0.2449

Structure (CIF):
```
data_YPOsSe2
_chemical_formula_sum 'Y1 P1 Os1 Se2'
_space_group_name_H-M_alt 'P 1'
_space_group_IT_number 1
_cell_length_a 4.6266
_cell_length_b 5.8603
_cell_length_c 4.6266
_cell_angle_alpha 90.00
_cell_angle_beta 90.00
_cell_angle_gamma 90.00
loop_
_space_group_symop_operation_xyz
'x,y,z'
loop_
_atom_site_label
_atom_site_type_symbol
_atom_site_fract_x
_atom_site_fract_y
_atom_site_fract_z
_atom_site_occupancy
P1 P 0.5000 0.5000 0.5000 1
Y1 Y 0.0000 0.5000 0.0000 1
Os1 Os 0.0000 0.0000 0.0000 1
Se1 Se 0.5000 0.0000 0.0000 1
Se2 Se 0.0000 0.0000 0.5000 1
```

***

Record 2
First-principles (PBE) data for a relaxed Ga2BiPt2 crystal, as listed in Alexandria.

Calculated values
DFT formation energy in eV/f.u.: -1.6
Distance to the lowest polymorph of the same formula in meV per atom: 130

Structure (CIF):
```
data_Ga2BiPt2
_chemical_formula_sum 'Ga2 Bi1 Pt2'
_space_group_name_H-M_alt 'P 1'
_space_group_IT_number 1
_cell_length_a 4.2797
_cell_length_b 4.2797
_cell_length_c 6.0683
_cell_angle_alpha 69.35
_cell_angle_beta 69.35
_cell_angle_gamma 90.00
loop_
_space_group_symop_operation_xyz
'x,y,z'
loop_
_atom_site_label
_atom_site_type_symbol
_atom_site_fract_x
_atom_site_fract_y
_atom_site_fract_z
_atom_site_occupancy
Ga1 Ga 0.3816 0.3816 0.2367 1
Ga2 Ga 0.6184 0.6184 0.7633 1
Pt1 Pt 0.7500 0.2500 0.5000 1
Bi1 Bi 0.0000 0.0000 0.0000 1
Pt2 Pt 0.2500 0.7500 0.5000 1
```